! PBE Ac2ZnF, relaxed; values from VASP
! - Space-group type: R-3m
! - Energy above the lowest structure with this stoichiometry: 0 meV per atom
&SYSTEM
  ibrav = 0, nat = 4, ntyp = 3
/
ATOMIC_SPECIES
Ac 227.00 Ac.upf
Zn 65.41 Zn.upf
F 19.00 F.upf
CELL_PARAMETERS angstrom
4.082 0.000 0.000
2.041 3.536 0.000
2.041 1.179 9.464
ATOMIC_POSITIONS crystal
Ac 0.085 0.085 0.746
Ac 0.915 0.915 0.254
Zn 0.500 0.500 0.500
F 0.000 0.000 0.000

! PBE NdZn2HRh2, relaxed; values from VASP
! - Total DFT energy (no corrections): -4.711 eV per atom
! - Space-group type: P4/mmm
&SYSTEM
  ibrav = 0, nat = 6, ntyp = 4
/
ATOMIC_SPECIES
Rh 102.91 Rh.upf
Zn 65.41 Zn.upf
H 1.01 H.upf
Nd 144.24 Nd.upf
CELL_PARAMETERS angstrom
-0.280 -0.508 4.129
-4.125 -0.505 -0.342
0.687 -5.209 -0.595
ATOMIC_POSITIONS crystal
Rh 0.000 0.500 0.000
Rh 0.500 0.000 0.000
Zn 0.500 0.500 0.729
Zn 0.500 0.500 0.271
H 0.000 0.000 0.000
Nd 0.000 0.000 0.500

! PBE Pr2AgSnTe5, relaxed; values from VASP
! - Total DFT energy (no corrections): -4.383 eV per atom
! - Space-group type: Cmc2_1
&SYSTEM
  ibrav = 0, nat = 18, ntyp = 4
/
ATOMIC_SPECIES
Te 127.60 Te.upf
Pr 140.91 Pr.upf
Sn 118.71 Sn.upf
Ag 107.87 Ag.upf
CELL_PARAMETERS angstrom
-3.298 -2.176 -1.961
4.722 -7.263 5.078
-7.652 2.267 10.357
ATOMIC_POSITIONS crystal
Te 0.302 0.605 0.663
Te 0.362 0.723 0.997
Te 0.638 0.277 0.497
Te 0.712 0.425 0.825
Te 0.518 0.035 0.791
Te 0.698 0.395 0.163
Te 0.028 0.055 0.093
Te 0.288 0.575 0.325
Te 0.482 0.965 0.291
Te 0.972 0.945 0.593
Pr 0.115 0.231 0.307
Pr 0.872 0.745 0.184
Pr 0.885 0.769 0.807
Pr 0.128 0.255 0.684
Sn 0.404 0.808 0.488
Sn 0.596 0.192 0.988
Ag 0.219 0.438 0.976
Ag 0.781 0.562 0.476

! PBE HgBiPb5, relaxed; values from VASP
! - Space-group type: P4/mmm
! - Energy relative to the elements: 52 meV per atom
! - Energy above the lowest structure with this stoichiometry: 0 meV per atom
&SYSTEM
  ibrav = 0, nat = 7, ntyp = 3
/
ATOMIC_SPECIES
Bi 208.98 Bi.upf
Pb 207.20 Pb.upf
Hg 200.59 Hg.upf
CELL_PARAMETERS angstrom
-2.104 3.681 -2.483
-4.059 -2.708 -0.575
-3.426 3.438 8.000
ATOMIC_POSITIONS crystal
Bi 0.000 0.000 0.000
Pb 0.500 0.500 0.000
Pb 0.500 0.000 0.720
Pb 0.000 0.500 0.280
Pb 0.000 0.500 0.720
Pb 0.500 0.000 0.280
Hg 0.000 0.000 0.500

! PBE MgPaGaOs, relaxed; values from VASP
! - Space-group type: F-43m
! - Energy relative to the elements: -114 meV per atom
&SYSTEM
  ibrav = 0, nat = 4, ntyp = 4
/
ATOMIC_SPECIES
Pa 231.04 Pa.upf
Ga 69.72 Ga.upf
Os 190.23 Os.upf
Mg 24.30 Mg.upf
CELL_PARAMETERS angstrom
-1.889 4.373 0.176
-4.735 0.554 -0.010
-2.236 1.474 3.944
ATOMIC_POSITIONS crystal
Pa 0.750 0.750 0.750
Ga 0.000 0.000 0.000
Os 0.500 0.500 0.500
Mg 0.250 0.250 0.250

! PBE SrCaAc2Ir, relaxed; values from VASP
! - Space-group type: P4/mmm
! - Energy relative to the elements: -324 meV per atom
&SYSTEM
  ibrav = 0, nat = 5, ntyp = 4
/
ATOMIC_SPECIES
Ca 40.08 Ca.upf
Ir 192.22 Ir.upf
Ac 227.00 Ac.upf
Sr 87.62 Sr.upf
CELL_PARAMETERS angstrom
5.883 0.000 0.000
0.000 5.899 0.000
0.000 0.000 5.899
ATOMIC_POSITIONS crystal
Ca 0.500 0.000 0.000
Ir 0.000 0.000 0.000
Ac 0.000 0.500 0.000
Ac 0.000 0.000 0.500
Sr 0.500 0.500 0.500

What did the fifth record say?
! PBE MgPaGaOs, relaxed; values from VASP
! - Space-group type: F-43m
! - Energy relative to the elements: -114 meV per atom
&SYSTEM
  ibrav = 0, nat = 4, ntyp = 4
/
ATOMIC_SPECIES
Pa 231.04 Pa.upf
Ga 69.72 Ga.upf
Os 190.23 Os.upf
Mg 24.30 Mg.upf
CELL_PARAMETERS angstrom
-1.889 4.373 0.176
-4.735 0.554 -0.010
-2.236 1.474 3.944
ATOMIC_POSITIONS crystal
Pa 0.750 0.750 0.750
Ga 0.000 0.000 0.000
Os 0.500 0.500 0.500
Mg 0.250 0.250 0.250